Material: KDySeS
Method: DFT, PBE-GGA
State: optimized geometry

It has space group R3m (No. 160, hexagonal axes), with a = 4.1251 Å, b = 4.1251 Å, c = 22.5847 Å, α = 90.00°, β = 90.00° and γ = 120.00°. The asymmetric unit holds K at (0.0000, 0.0000, 0.0000), Dy at (0.0000, 0.0000, 0.5047), Se at (0.0000, 0.0000, 0.7661) and S at (0.0000, 0.0000, 0.2347).

The raw total energy is -61.79 eV for the cell shown.